1.
First-principles (GGA-PBE) data for a geometry-optimized NiGeC3 structure, as listed in Alexandria via LeMat-Bulk.

The total energy comes out at -24.13 eV for the cell shown. The energy relative to the elements comes out at 2.787 eV per atom. Its spin magnetization is 0.0 μB per formula unit. Its symmetry is Pm-3m (221). The crystal system is cubic. The volume is 59.3 Å³/cell. The value obtained for the offset from the most stable computed form is 2.218 eV per formula unit.

Lattice parameters (Å, degrees): 3.899 3.899 3.899 90.00 90.00 90.00
Element x y z (fractional)
Ni 0.000 0.000 0.000
Ge 0.500 0.500 0.500
C 0.000 0.500 0.500
C 0.500 0.000 0.500
C 0.500 0.500 0.000

2.
First-principles (GGA-PBE) data for a geometry-optimized Pr3Zn5Ni6 structure, as listed in Alexandria via LeMat-Bulk.

The total energy comes out at -60.17 eV for the cell shown. The energy relative to the elements comes out at -0.341 eV per atom. Its spin magnetization is 0.0 μB per formula unit. Its symmetry is Immm (71). The crystal system is orthorhombic. The volume is 238.1 Å³/cell.

Lattice parameters (Å, degrees): 7.975 7.975 7.975 149.33 110.40 77.95
Element x y z (fractional)
Pr 0.000 0.000 0.000
Pr 0.317 0.317 0.000
Pr 0.683 0.683 0.000
Zn 0.019 0.681 0.338
Zn 0.343 0.681 0.662
Zn 0.500 0.000 0.500
Zn 0.657 0.319 0.338
Zn 0.981 0.319 0.662
Ni 0.168 0.893 0.275
Ni 0.289 0.500 0.789
Ni 0.382 0.107 0.275
Ni 0.618 0.893 0.725
Ni 0.711 0.500 0.211
Ni 0.832 0.107 0.725

3.
First-principles (GGA-PBE) data for a geometry-optimized TlCo2Re structure, as listed in Alexandria via LeMat-Bulk.

The total energy comes out at -27.25 eV for the cell shown. The energy relative to the elements comes out at 0.445 eV per atom. Its spin magnetization is 0.0 μB per formula unit. Its symmetry is Pmmm (47). The crystal system is orthorhombic. The volume is 58.1 Å³/cell. The value obtained for the offset from the most stable computed form is 0.234 eV per formula unit.

Lattice parameters (Å, degrees): 2.809 3.523 5.867 90.00 90.00 90.00
Element x y z (fractional)
Tl 0.000 0.000 0.000
Co 0.500 0.500 0.293
Co 0.500 0.500 0.707
Re 0.000 0.000 0.500

4.
First-principles (GGA-PBE) data for a geometry-optimized Ni2AuSe structure, as listed in Alexandria via LeMat-Bulk.

The formation energy from raw total energies is 0.109 eV/atom. The total energy comes out at -17.89 eV for the cell shown. Its spin magnetization is 0.0 μB per formula unit. Its symmetry is Imm2 (44). The crystal system is orthorhombic. The volume is 62.0 Å³/cell.

Lattice parameters (Å, degrees): 5.957 5.957 5.957 147.38 146.90 47.16
Element x y z (fractional)
Ni 0.000 0.000 0.000
Ni 0.811 0.311 0.500
Au 0.615 0.615 0.000
Se 0.352 0.852 0.500

5.
First-principles (GGA-PBE) data for a geometry-optimized LaNdPb structure, as listed in Alexandria via LeMat-Bulk.

The total energy comes out at -14.29 eV for the cell shown. The energy relative to the elements comes out at -0.294 eV per atom. Its spin magnetization is 0.3 μB per formula unit. Its symmetry is F-43m (216). The crystal system is cubic. The volume is 112.4 Å³/cell. The value obtained for the offset from the most stable computed form is 0.514 eV per formula unit.

Lattice parameters (Å, degrees): 5.417 5.417 5.417 60.00 60.00 60.00
Element x y z (fractional)
La 0.000 0.000 0.000
Nd 0.500 0.500 0.500
Pb 0.250 0.250 0.250

6.
First-principles (GGA-PBE) data for a geometry-optimized La8HgOs3I4 structure, as listed in Alexandria via LeMat-Bulk.

The formation energy from raw total energies is -0.738 eV/atom. The total energy comes out at -91.41 eV for the cell shown. Its spin magnetization is 0.0 μB per formula unit. Its symmetry is R-3m (166). The crystal system is trigonal. The volume is 533.2 Å³/cell.

Lattice parameters (Å, degrees): 9.617 9.617 9.617 53.50 53.50 53.50
Element x y z (fractional)
La 0.202 0.742 0.742
La 0.230 0.230 0.230
La 0.258 0.258 0.798
La 0.258 0.798 0.258
La 0.742 0.202 0.742
La 0.742 0.742 0.202
La 0.770 0.770 0.770
La 0.798 0.258 0.258
Hg 0.500 0.500 0.500
Os 0.000 0.000 0.500
Os 0.000 0.500 0.000
Os 0.500 0.000 0.000
I 0.000 0.000 0.000
I 0.000 0.500 0.500
I 0.500 0.000 0.500
I 0.500 0.500 0.000

7.
First-principles (GGA-PBE) data for a geometry-optimized Er2BPt2Rh4 structure, as listed in Alexandria via LeMat-Bulk.

The total energy comes out at -65.43 eV for the cell shown. The energy relative to the elements comes out at -0.904 eV per atom. Its spin magnetization is 0.0 μB per formula unit. Its symmetry is I4/mmm (139). The crystal system is tetragonal. The volume is 140.3 Å³/cell.

Lattice parameters (Å, degrees): 5.820 5.820 5.820 119.56 119.56 90.77
Element x y z (fractional)
Er 0.250 0.750 0.500
Er 0.750 0.250 0.500
B 0.000 0.000 0.000
Pt 0.260 0.260 0.000
Pt 0.740 0.740 0.000
Rh 0.256 0.256 0.511
Rh 0.256 0.744 0.000
Rh 0.744 0.256 0.000
Rh 0.744 0.744 0.489